Record 1
A plane-wave DFT calculation with PBE-GGA was carried out for a relaxed structure of MnReSi2.

total DFT energy (no corrections) = -32.60 eV/cell
formation energy without anion corrections = -0.03 eV per atom
DOS at the Fermi energy = 0.650 states/eV/atom
calculated volume = 52.26 Å³ per cell

```
data_MnReSi2
_cell_length_a 2.770
_cell_length_b 3.777
_cell_length_c 4.994
_cell_angle_alpha 90.00
_cell_angle_beta 90.86
_cell_angle_gamma 90.00
_space_group_name_H-M_alt 'P 1 2/m 1'
_space_group_IT_number 10
_space_group_name_Hall '-P 2y'
loop_
_atom_site_label
_atom_site_type_symbol
_atom_site_fract_x
_atom_site_fract_y
_atom_site_fract_z
Mn1 Mn 0.000 0.000 0.000
Re1 Re 0.500 0.000 0.500
Si1 Si 0.028 0.500 0.745
```



Record 2
A plane-wave DFT calculation with PBE-GGA was carried out for a relaxed structure of MnRe2Si.

total DFT energy (no corrections) = -39.86 eV/cell
formation energy without anion corrections = -0.09 eV per atom
DOS at the Fermi energy = 0.802 states/eV/atom
calculated volume = 53.24 Å³ per cell

```
data_MnRe2Si
_cell_length_a 2.948
_cell_length_b 2.948
_cell_length_c 6.125
_cell_angle_alpha 90.00
_cell_angle_beta 90.00
_cell_angle_gamma 90.00
_space_group_name_H-M_alt 'P 4/m m m'
_space_group_IT_number 123
_space_group_name_Hall '-P 4 2'
loop_
_atom_site_label
_atom_site_type_symbol
_atom_site_fract_x
_atom_site_fract_y
_atom_site_fract_z
Mn1 Mn 0.000 0.000 0.000
Re1 Re 0.500 0.500 0.257
Si1 Si 0.000 0.000 0.500
```



Record 3
A plane-wave DFT calculation with PBE-GGA was carried out for a relaxed structure of MnReSi2.

total DFT energy (no corrections) = -66.82 eV/cell
formation energy without anion corrections = -0.24 eV per atom
DOS at the Fermi energy = 0.678 states/eV/atom
calculated volume = 101.57 Å³ per cell

```
data_MnReSi2
_cell_length_a 8.632
_cell_length_b 2.905
_cell_length_c 4.254
_cell_angle_alpha 90.00
_cell_angle_beta 107.82
_cell_angle_gamma 90.00
_space_group_name_H-M_alt 'C 1 m 1'
_space_group_IT_number 8
_space_group_name_Hall 'C -2y'
loop_
_atom_site_label
_atom_site_type_symbol
_atom_site_fract_x
_atom_site_fract_y
_atom_site_fract_z
Mn1 Mn 0.000 0.000 0.000
Re1 Re 0.245 0.000 0.632
Si1 Si 0.242 0.500 0.136
Si2 Si 0.497 0.000 0.481
```



Record 4
A plane-wave DFT calculation with PBE-GGA was carried out for a relaxed structure of MnReSi2.

total DFT energy (no corrections) = -99.27 eV/cell
formation energy without anion corrections = -0.16 eV per atom
DOS at the Fermi energy = 0.818 states/eV/atom
calculated volume = 154.21 Å³ per cell

```
data_MnReSi2
_cell_length_a 2.8026
_cell_length_b 2.8026
_cell_length_c 22.6704
_cell_angle_alpha 90.00
_cell_angle_beta 90.00
_cell_angle_gamma 120.00
_space_group_name_H-M_alt 'R 3 m'
_space_group_IT_number 160
_space_group_name_Hall 'R 3 -2"'
loop_
_atom_site_label
_atom_site_type_symbol
_atom_site_fract_x
_atom_site_fract_y
_atom_site_fract_z
Mn1 Mn 0.0000 0.0000 0.0000
Re1 Re 0.0000 0.0000 0.8374
Si1 Si 0.0000 0.0000 0.4135
Si2 Si 0.0000 0.0000 0.5906
```



Question: Among the records above, which one has the highest calculated volume?
Answer: number 4